First-principles (PBE) data for an optimized crystal structure of Tb5NdDyHo2, as listed in Alexandria. Values from VASP.

The structure in Quantum ESPRESSO input format:
```
&SYSTEM
  ibrav = 0, nat = 18, ntyp = 4
/
ATOMIC_SPECIES
Tb 158.93 Tb.upf
Nd 144.24 Nd.upf
Dy 162.50 Dy.upf
Ho 164.93 Ho.upf
CELL_PARAMETERS angstrom
5.619 0.000 0.000
-2.810 9.946 0.000
0.000 0.000 10.554
ATOMIC_POSITIONS crystal
Tb 0.388 0.775 0.023
Tb 0.719 0.438 0.813
Tb 0.479 0.958 0.738
Tb 0.298 0.597 0.709
Tb 0.982 0.965 0.524
Tb 0.612 0.225 0.523
Tb 0.281 0.562 0.313
Tb 0.521 0.042 0.238
Tb 0.702 0.403 0.209
Tb 0.018 0.035 0.024
Nd 0.585 0.169 0.952
Nd 0.415 0.831 0.452
Dy 0.800 0.601 0.512
Dy 0.200 0.399 0.012
Ho 0.886 0.772 0.819
Ho 0.111 0.223 0.735
Ho 0.114 0.228 0.319
Ho 0.889 0.777 0.235
```

Output
Its formation energy is 0.157 eV/atom.